Record 1
Computed, not measured: a relaxed structure of UNi2B2 at the PBE-GGA level of DFT.

Computed properties:
**M_tot**: 0.4 μB/f.u.
**Relative energy among the computed polymorphs**: 0.032 eV per atom
**E_form**: -26.5 kJ per mole of atoms

Cell: 4.974 4.974 3.969 Å, 104.54 104.54 36.94°
Sites, in units of the cell vectors:
1 U 0.000 0.000 0.000
2 Ni 0.353 0.353 0.448
3 Ni 0.647 0.647 0.552
4 B 0.266 0.266 0.906
5 B 0.734 0.734 0.094

Record 2
Computed, not measured: a relaxed structure of UNi22B6 at the PBE-GGA level of DFT.

Computed properties:
**M_tot**: 1.1 μB/f.u.
**E_form**: -21.6 kJ per mole of atoms

Cell: 7.480 7.480 7.480 Å, 60.00 60.00 60.00°
Sites, in units of the cell vectors:
1 U 0.000 0.000 0.000
2 Ni 0.000 0.000 0.342
3 Ni 0.000 0.000 0.658
4 Ni 0.000 0.342 0.000
5 Ni 0.000 0.342 0.658
6 Ni 0.000 0.658 0.000
7 Ni 0.000 0.658 0.342
8 Ni 0.148 0.617 0.617
9 Ni 0.250 0.250 0.250
10 Ni 0.342 0.000 0.000
11 Ni 0.342 0.000 0.658
12 Ni 0.342 0.658 0.000
13 Ni 0.383 0.383 0.383
14 Ni 0.383 0.383 0.852
15 Ni 0.383 0.852 0.383
16 Ni 0.617 0.148 0.617
17 Ni 0.617 0.617 0.148
18 Ni 0.617 0.617 0.617
19 Ni 0.658 0.000 0.000
20 Ni 0.658 0.000 0.342
21 Ni 0.658 0.342 0.000
22 Ni 0.750 0.750 0.750
23 Ni 0.852 0.383 0.383
24 B 0.277 0.277 0.723
25 B 0.277 0.723 0.277
26 B 0.277 0.723 0.723
27 B 0.723 0.277 0.277
28 B 0.723 0.277 0.723
29 B 0.723 0.723 0.277

Record 3
Computed, not measured: a relaxed structure of UNiB at the PBE-GGA level of DFT.

Computed properties:
**M_tot**: 0.9 μB/f.u.
**Relative energy among the computed polymorphs**: 0.030 eV per atom
**E_form**: 1.9 kJ per mole of atoms

Cell: 5.789 4.972 4.424 Å, 75.82 56.38 47.81°
Sites, in units of the cell vectors:
1 U 0.168 0.832 0.168
2 U 0.832 0.168 0.832
3 Ni 0.320 0.320 0.680
4 Ni 0.680 0.680 0.320
5 B 0.250 0.250 0.250
6 B 0.750 0.750 0.750

Record 4
Computed, not measured: a relaxed structure of UNi5B2 at the PBE-GGA level of DFT.

Computed properties:
**M_tot**: 1.3 μB/f.u.
**E_form**: -30.3 kJ per mole of atoms

Cell: 5.490 5.490 5.490 Å, 143.65 111.50 80.10°
Sites, in units of the cell vectors:
1 U 0.000 0.000 0.000
2 Ni 0.149 0.344 0.805
3 Ni 0.461 0.656 0.805
4 Ni 0.500 0.000 0.500
5 Ni 0.539 0.344 0.195
6 Ni 0.851 0.656 0.195
7 B 0.258 0.758 0.500
8 B 0.742 0.242 0.500

Record 5
Computed, not measured: a relaxed structure of UNiB4 at the PBE-GGA level of DFT.

Computed properties:
**M_tot**: 1.4 μB/f.u.
**Relative energy among the computed polymorphs**: 0.000 eV per atom
**E_form**: -46.8 kJ per mole of atoms

Cell: 6.778 6.778 6.778 Å, 113.12 113.12 102.40°
Sites, in units of the cell vectors:
1 U 0.196 0.196 0.000
2 U 0.250 0.750 0.500
3 U 0.750 0.250 0.500
4 U 0.804 0.804 0.000
5 Ni 0.273 0.500 0.773
6 Ni 0.500 0.273 0.773
7 Ni 0.500 0.727 0.227
8 Ni 0.727 0.500 0.227
9 B 0.111 0.275 0.386
10 B 0.111 0.725 0.835
11 B 0.113 0.113 0.536
12 B 0.113 0.577 0.000
13 B 0.275 0.111 0.386
14 B 0.275 0.889 0.165
15 B 0.423 0.423 0.536
16 B 0.423 0.887 0.000
17 B 0.577 0.113 0.000
18 B 0.577 0.577 0.464
19 B 0.725 0.111 0.835
20 B 0.725 0.889 0.614
21 B 0.887 0.423 0.000
22 B 0.887 0.887 0.464
23 B 0.889 0.275 0.165
24 B 0.889 0.725 0.614

Record 6
Computed, not measured: a relaxed structure of U2Ni21B6 at the PBE-GGA level of DFT.

Computed properties:
**M_tot**: 0.0 μB/f.u.
**E_form**: -30.7 kJ per mole of atoms

Cell: 7.531 7.531 7.531 Å, 60.00 60.00 60.00°
Sites, in units of the cell vectors:
1 U 0.250 0.250 0.250
2 U 0.750 0.750 0.750
3 Ni 0.000 0.000 0.000
4 Ni 0.000 0.000 0.340
5 Ni 0.000 0.000 0.660
6 Ni 0.000 0.340 0.000
7 Ni 0.000 0.340 0.660
8 Ni 0.000 0.660 0.000
9 Ni 0.000 0.660 0.340
10 Ni 0.157 0.614 0.614
11 Ni 0.340 0.000 0.000
12 Ni 0.340 0.000 0.660
13 Ni 0.340 0.660 0.000
14 Ni 0.386 0.386 0.386
15 Ni 0.386 0.386 0.843
16 Ni 0.386 0.843 0.386
17 Ni 0.614 0.157 0.614
18 Ni 0.614 0.614 0.157
19 Ni 0.614 0.614 0.614
20 Ni 0.660 0.000 0.000
21 Ni 0.660 0.000 0.340
22 Ni 0.660 0.340 0.000
23 Ni 0.843 0.386 0.386
24 B 0.266 0.266 0.734
25 B 0.266 0.734 0.266
26 B 0.266 0.734 0.734
27 B 0.734 0.266 0.266
28 B 0.734 0.266 0.734
29 B 0.734 0.734 0.266

Record 7
Computed, not measured: a relaxed structure of UNi4B4 at the PBE-GGA level of DFT.

Computed properties:
**M_tot**: 0.9 μB/f.u.
**E_form**: -30.5 kJ per mole of atoms

Cell: 5.024 5.024 7.137 Å, 90.00 90.00 90.00°
Sites, in units of the cell vectors:
1 U 0.250 0.750 0.250
2 U 0.750 0.250 0.750
3 Ni 0.003 0.250 0.115
4 Ni 0.250 0.003 0.615
5 Ni 0.250 0.497 0.615
6 Ni 0.497 0.250 0.115
7 Ni 0.503 0.750 0.885
8 Ni 0.750 0.503 0.385
9 Ni 0.750 0.997 0.385
10 Ni 0.997 0.750 0.885
11 B 0.081 0.250 0.409
12 B 0.250 0.081 0.909
13 B 0.250 0.419 0.909
14 B 0.419 0.250 0.409
15 B 0.581 0.750 0.591
16 B 0.750 0.581 0.091
17 B 0.750 0.919 0.091
18 B 0.919 0.750 0.591

Record 8
Computed, not measured: a relaxed structure of UNiB at the PBE-GGA level of DFT.

Computed properties:
**M_tot**: 0.0 μB/f.u.
**Relative energy among the computed polymorphs**: 0.000 eV per atom
**E_form**: -1.0 kJ per mole of atoms

Cell: 5.473 5.473 5.473 Å, 151.38 151.38 40.92°
Sites, in units of the cell vectors:
1 U 0.000 0.000 0.000
2 Ni 0.277 0.277 0.000
3 B 0.693 0.693 0.000